[1]
DFT (PBE-GGA) results for BaMn2Zn after structural relaxation.

Unit cell a=4.993 b=4.993 c=3.664 alpha=90.00 beta=90.00 gamma=90.00
Space group P4/mmm (No. 123)
Inequivalent atoms, fractional coordinates:
Ba (0.000, 0.000, 0.000) [1 per cell]
Mn (0.000, 0.500, 0.500) [2 per cell]
Zn (0.500, 0.500, 0.000) [1 per cell]

Computed properties:
Calculated volume = 91.3 Å³ per cell
Total energy = -4.565 eV/atom
Total magnetization = 7.57 μB per cell
D(E_F) = 0.998 states/eV per atom

[2]
DFT (PBE-GGA) results for ScBe2Si after structural relaxation.

Unit cell a=3.6379 b=3.6379 c=14.0870 alpha=90.00 beta=90.00 gamma=120.00
Space group R3m (No. 160, hexagonal axes)
Inequivalent atoms, fractional coordinates:
Sc (0.0000, 0.0000, 0.0000) [3 per cell]
Be (0.0000, 0.0000, 0.4750) [3 per cell]
Be (0.0000, 0.0000, 0.7943) [3 per cell]
Si (0.0000, 0.0000, 0.2025) [3 per cell]

Computed properties:
Raw formation energy = -1.3 eV/f.u.
Calculated volume = 161.5 Å³ per cell
Total magnetization = 0.00 μB per cell
D(E_F) = 0.314 states/eV per atom

[3]
DFT (PBE-GGA) results for La8SiRh3Br4 after structural relaxation.

Unit cell a=14.783 b=8.522 c=9.218 alpha=90.00 beta=122.26 gamma=90.00
Space group C2/m (No. 12)
Inequivalent atoms, fractional coordinates:
La (0.020, 0.242, 0.301) [8 per cell]
La (0.235, 0.000, 0.703) [4 per cell]
La (0.238, 0.500, 0.699) [4 per cell]
Si (0.000, 0.500, 0.500) [2 per cell]
Rh (0.000, 0.000, 0.500) [2 per cell]
Rh (0.250, 0.250, 0.500) [4 per cell]
Br (0.000, 0.000, 0.000) [2 per cell]
Br (0.000, 0.500, 0.000) [2 per cell]
Br (0.250, 0.250, 0.000) [4 per cell]

Computed properties:
Raw formation energy = -18.0 eV/f.u.
Calculated volume = 982.1 Å³ per cell
Total magnetization = 0.00 μB per cell
D(E_F) = 0.890 states/eV per atom

[4]
DFT (PBE-GGA) results for Cr3FeIr after structural relaxation.

Unit cell a=4.117 b=4.117 c=4.117 alpha=90.00 beta=90.00 gamma=90.00
Space group Pm-3m (No. 221)
Inequivalent atoms, fractional coordinates:
Cr (0.000, 0.000, 0.500) [3 per cell]
Fe (0.000, 0.000, 0.000) [1 per cell]
Ir (0.500, 0.500, 0.500) [1 per cell]

Computed properties:
Excess energy over the best structure of this formula in the dataset = 0 meV per atom
Calculated volume = 69.8 Å³ per cell
Total magnetization = 0.00 μB per cell
D(E_F) = 1.300 states/eV per atom

[5]
DFT (PBE-GGA) results for RbGaPb after structural relaxation.

Unit cell a=4.981 b=4.981 c=8.618 alpha=90.00 beta=90.00 gamma=90.00
Space group P4/nmm (No. 129, origin choice 2)
Inequivalent atoms, fractional coordinates:
Rb (0.250, 0.250, 0.173) [2 per cell]
Ga (0.250, 0.750, 0.500) [2 per cell]
Pb (0.250, 0.250, 0.690) [2 per cell]

Computed properties:
Calculated volume = 213.8 Å³ per cell
Total energy = -2.694 eV/atom
Total magnetization = 0.00 μB per cell
D(E_F) = 0.430 states/eV per atom

[6]
DFT (PBE-GGA) results for MnBe2As after structural relaxation.

Unit cell a=3.400 b=3.400 c=7.355 alpha=90.00 beta=90.00 gamma=90.00
Space group I-4m2 (No. 119)
Inequivalent atoms, fractional coordinates:
Mn (0.000, 0.000, 0.000) [2 per cell]
Be (0.000, 0.000, 0.500) [2 per cell]
Be (0.000, 0.500, 0.250) [2 per cell]
As (0.000, 0.500, 0.750) [2 per cell]

Computed properties:
Calculated volume = 85.0 Å³ per cell
Total energy = -5.347 eV/atom
Total magnetization = 3.52 μB per cell
D(E_F) = 0.153 states/eV per atom

[7]
DFT (PBE-GGA) results for Ta2MnH after structural relaxation.

Unit cell a=2.8663 b=2.8663 c=23.3374 alpha=90.00 beta=90.00 gamma=120.00
Space group R-3m (No. 166, hexagonal axes)
Inequivalent atoms, fractional coordinates:
Ta (0.0000, 0.0000, 0.1081) [6 per cell]
Mn (0.0000, 0.0000, 0.0000) [3 per cell]
H (0.0000, 0.0000, 0.5000) [3 per cell]

Computed properties:
Excess energy over the best structure of this formula in the dataset = 245 meV per atom
Calculated volume = 166.0 Å³ per cell
Total magnetization = 7.56 μB per cell
D(E_F) = 0.912 states/eV per atom

[8]
DFT (PBE-GGA) results for Rb2LaVBr6 after structural relaxation.

Unit cell a=11.336 b=11.336 c=11.336 alpha=90.00 beta=90.00 gamma=90.00
Space group Fm-3m (No. 225)
Inequivalent atoms, fractional coordinates:
Rb (0.250, 0.250, 0.250) [8 per cell]
La (0.000, 0.000, 0.000) [4 per cell]
V (0.000, 0.000, 0.500) [4 per cell]
Br (0.000, 0.000, 0.260) [24 per cell]

Computed properties:
Raw formation energy = -14.2 eV/f.u.
Calculated volume = 1456.8 Å³ per cell
Total magnetization = 16.00 μB per cell
D(E_F) = 1.021 states/eV per atom

[9]
DFT (PBE-GGA) results for Sr2CoRe after structural relaxation.

Unit cell a=7.414 b=7.414 c=7.414 alpha=90.00 beta=90.00 gamma=90.00
Space group Fm-3m (No. 225)
Inequivalent atoms, fractional coordinates:
Sr (0.250, 0.250, 0.250) [8 per cell]
Co (0.000, 0.000, 0.000) [4 per cell]
Re (0.000, 0.000, 0.500) [4 per cell]

Computed properties:
Excess energy over the best structure of this formula in the dataset = 632 meV per atom
Calculated volume = 407.6 Å³ per cell
Total magnetization = 15.99 μB per cell
D(E_F) = 1.547 states/eV per atom

[10]
DFT (PBE-GGA) results for Li2ScP2O8 after structural relaxation.

Unit cell a=5.033 b=8.421 c=8.405 alpha=90.00 beta=116.49 gamma=90.00
Space group P2_1/c (No. 14)
Inequivalent atoms, fractional coordinates:
Li (0.064, 0.127, 0.163) [4 per cell]
Sc (0.000, 0.000, 0.500) [2 per cell]
P (0.337, 0.662, 0.741) [4 per cell]
O (0.184, 0.674, 0.198) [4 per cell]
O (0.227, 0.565, 0.856) [4 per cell]
O (0.258, 0.563, 0.569) [4 per cell]
O (0.320, 0.179, 0.662) [4 per cell]

Computed properties:
Raw formation energy = -31.7 eV/f.u.
Calculated volume = 318.9 Å³ per cell
Total magnetization = 2.13 μB per cell
D(E_F) = 0.063 states/eV per atom

[11]
DFT (PBE-GGA) results for YCd3Si after structural relaxation.

Unit cell a=5.090 b=5.090 c=5.090 alpha=90.00 beta=90.00 gamma=90.00
Space group Pm-3m (No. 221)
Inequivalent atoms, fractional coordinates:
Y (0.000, 0.000, 0.000) [1 per cell]
Cd (0.000, 0.500, 0.500) [3 per cell]
Si (0.500, 0.500, 0.500) [1 per cell]

Computed properties:
Excess energy over the best structure of this formula in the dataset = 0 meV per atom
Raw formation energy = 1.5 eV/f.u.
Calculated volume = 131.8 Å³ per cell
Total magnetization = 0.00 μB per cell
D(E_F) = 0.507 states/eV per atom

[12]
DFT (PBE-GGA) results for Y3AuO6 after structural relaxation.

Unit cell a=9.128 b=11.202 c=5.584 alpha=90.00 beta=90.00 gamma=90.00
Space group Cmc2_1 (No. 36)
Inequivalent atoms, fractional coordinates:
Y (0.000, 0.101, 0.000) [4 per cell]
Y (0.216, 0.379, 0.052) [8 per cell]
Au (0.000, 0.369, 0.559) [4 per cell]
O (0.000, 0.284, 0.241) [4 per cell]
O (0.000, 0.464, 0.881) [4 per cell]
O (0.152, 0.239, 0.781) [8 per cell]
O (0.158, 0.017, 0.278) [8 per cell]

Computed properties:
Raw formation energy = -25.7 eV/f.u.
Calculated volume = 570.9 Å³ per cell
Total magnetization = 0.00 μB per cell
D(E_F) = 0.336 states/eV per atom

[13]
DFT (PBE-GGA) results for SrCaSb2 after structural relaxation.

Unit cell a=4.658 b=4.658 c=6.589 alpha=90.00 beta=90.00 gamma=90.00
Space group P4/mmm (No. 123)
Inequivalent atoms, fractional coordinates:
Sr (0.000, 0.000, 0.000) [1 per cell]
Ca (0.500, 0.500, 0.500) [1 per cell]
Sb (0.000, 0.000, 0.500) [1 per cell]
Sb (0.500, 0.500, 0.000) [1 per cell]

Computed properties:
Excess energy over the best structure of this formula in the dataset = 185 meV per atom
Raw formation energy = -2.6 eV/f.u.
Calculated volume = 143.0 Å³ per cell
Total magnetization = 0.00 μB per cell
D(E_F) = 1.880 states/eV per atom

[14]
DFT (PBE-GGA) results for LaCu2AgGe after structural relaxation.

Unit cell a=5.159 b=5.159 c=5.649 alpha=90.00 beta=90.00 gamma=90.00
Space group P4/mmm (No. 123)
Inequivalent atoms, fractional coordinates:
La (0.000, 0.000, 0.000) [1 per cell]
Cu (0.000, 0.500, 0.000) [2 per cell]
Ag (0.000, 0.000, 0.500) [1 per cell]
Ge (0.500, 0.500, 0.500) [1 per cell]

Computed properties:
Calculated volume = 150.3 Å³ per cell
Total energy = -2.890 eV/atom
Total magnetization = 0.00 μB per cell
D(E_F) = 0.777 states/eV per atom

[15]
DFT (PBE-GGA) results for GeIrSeN2 after structural relaxation.

Unit cell a=3.835 b=3.835 c=5.551 alpha=90.00 beta=90.00 gamma=90.00
Space group P4/mmm (No. 123)
Inequivalent atoms, fractional coordinates:
Ge (0.000, 0.000, 0.000) [1 per cell]
Ir (0.500, 0.500, 0.500) [1 per cell]
Se (0.500, 0.500, 0.000) [1 per cell]
N (0.000, 0.500, 0.500) [2 per cell]

Computed properties:
Excess energy over the best structure of this formula in the dataset = 0 meV per atom
Raw formation energy = 4.1 eV/f.u.
Calculated volume = 81.6 Å³ per cell
Total magnetization = 0.00 μB per cell
D(E_F) = 0.300 states/eV per atom

[16]
DFT (PBE-GGA) results for LaTe2MoI after structural relaxation.

Unit cell a=6.172 b=6.172 c=6.146 alpha=90.00 beta=90.00 gamma=90.00
Space group P4/mmm (No. 123)
Inequivalent atoms, fractional coordinates:
La (0.000, 0.000, 0.000) [1 per cell]
Te (0.000, 0.500, 0.000) [2 per cell]
Mo (0.500, 0.500, 0.500) [1 per cell]
I (0.000, 0.000, 0.500) [1 per cell]

Computed properties:
Raw formation energy = 2.1 eV/f.u.
Calculated volume = 234.1 Å³ per cell
Total magnetization = 4.38 μB per cell
D(E_F) = 1.171 states/eV per atom

[17]
DFT (PBE-GGA) results for ErSiRh2 after structural relaxation.

Unit cell a=3.911 b=3.911 c=9.253 alpha=90.00 beta=90.00 gamma=90.00
Space group P4/nmm (No. 129, origin choice 2)
Inequivalent atoms, fractional coordinates:
Er (0.250, 0.250, 0.207) [2 per cell]
Si (0.250, 0.250, 0.648) [2 per cell]
Rh (0.250, 0.250, 0.899) [2 per cell]
Rh (0.250, 0.750, 0.500) [2 per cell]

Computed properties:
Raw formation energy = -3.7 eV/f.u.
Calculated volume = 141.6 Å³ per cell
Total magnetization = 0.00 μB per cell
D(E_F) = 0.428 states/eV per atom

[18]
DFT (PBE-GGA) results for TeAsW2 after structural relaxation.

Unit cell a=3.281 b=5.108 c=8.689 alpha=90.00 beta=90.00 gamma=90.00
Space group Immm (No. 71)
Inequivalent atoms, fractional coordinates:
Te (0.000, 0.000, 0.000) [2 per cell]
As (0.000, 0.000, 0.500) [2 per cell]
W (0.000, 0.500, 0.221) [4 per cell]

Computed properties:
Excess energy over the best structure of this formula in the dataset = 695 meV per atom
Raw formation energy = 3.5 eV/f.u.
Calculated volume = 145.7 Å³ per cell
Total magnetization = 0.00 μB per cell
D(E_F) = 0.755 states/eV per atom